Entry 1:
## RbTi3Cl (PBE-GGA)

Data for an optimized crystal structure of RbTi3Cl.

Calculated values
Formation energy (no corrections), kcal/mol of atoms: 17.72
Energy relative to the lowest polymorph listed for this composition, meV per atom: 0
SG: Pm-3m

a b c (Å): 4.777 4.777 4.777
angles (deg): 90.00 90.00 90.00
Positions (direct):
Rb  0.000  0.000  0.000
Ti  0.000  0.500  0.500
Ti  0.500  0.000  0.500
Ti  0.500  0.500  0.000
Cl  0.500  0.500  0.500



Entry 2:
## TlZnRe2 (PBE-GGA)

Data for an optimized crystal structure of TlZnRe2.

Calculated values
Energy relative to the lowest polymorph listed for this composition, meV per atom: 330
Formation enthalpy at 0 K, kJ/mol of atoms: 68.04
SG: C2/m

a b c (Å): 4.928 4.928 4.797
angles (deg): 98.38 98.38 37.06
Positions (direct):
Tl  0.000  0.000  0.000
Zn  0.500  0.500  0.500
Re  0.245  0.245  0.701
Re  0.755  0.755  0.299



Entry 3:
## Zr5Cr (PBE-GGA)

Data for an optimized crystal structure of Zr5Cr.

Calculated values
Formation enthalpy at 0 K, kJ/mol of atoms: 16.68
SG: Amm2

a b c (Å): 5.012 7.905 7.905
angles (deg): 24.39 90.00 90.00
Positions (direct):
Zr  0.000  0.000  0.000
Zr  0.000  0.314  0.314
Zr  0.500  0.131  0.131
Zr  0.500  0.459  0.459
Zr  0.500  0.791  0.791
Cr  0.000  0.658  0.658



Entry 4:
## ZrTaSn (PBE-GGA)

Data for an optimized crystal structure of ZrTaSn.

Calculated values
Formation enthalpy at 0 K, kJ/mol of atoms: 6.62
SG: P3m1

a b c (Å): 4.962 4.962 2.969
angles (deg): 90.00 90.00 120.00
Positions (direct):
Zr  0.000  0.000  0.000
Ta  0.333  0.667  0.384
Sn  0.667  0.333  0.610



Entry 5:
## ErVCo2 (PBE-GGA)

Data for an optimized crystal structure of ErVCo2.

Calculated values
Energy relative to the lowest polymorph listed for this composition, meV per atom: 0
Formation enthalpy at 0 K, kJ/mol of atoms: -10.34
SG: R-3m

a b c (Å): 5.317 5.317 5.317
angles (deg): 43.83 43.83 43.83
Positions (direct):
Er  0.000  0.000  0.000
V  0.500  0.500  0.500
Co  0.203  0.203  0.203
Co  0.797  0.797  0.797



Entry 6:
## Mn2ReNi (PBE-GGA)

Data for an optimized crystal structure of Mn2ReNi.

Calculated values
Formation enthalpy at 0 K, kJ/mol of atoms: 15.28
SG: F-43m

a b c (Å): 4.132 4.132 4.132
angles (deg): 60.00 60.00 60.00
Positions (direct):
Mn  0.000  0.000  0.000
Mn  0.250  0.250  0.250
Re  0.500  0.500  0.500
Ni  0.750  0.750  0.750



Entry 7:
## SrPt3O8 (PBE-GGA)

Data for an optimized crystal structure of SrPt3O8.

Calculated values
Formation energy (no corrections), kcal/mol of atoms: -9.66
SG: P-3

a b c (Å): 5.622 5.622 6.267
angles (deg): 90.00 90.00 120.00
Positions (direct):
Sr  0.000  0.000  0.000
Pt  0.000  0.000  0.500
Pt  0.333  0.667  0.550
Pt  0.667  0.333  0.450
O  0.065  0.361  0.357
O  0.296  0.935  0.357
O  0.333  0.667  0.858
O  0.361  0.296  0.643
O  0.639  0.704  0.357
O  0.667  0.333  0.142
O  0.704  0.065  0.643
O  0.935  0.639  0.643



Entry 8:
## Li2CaTb (PBE-GGA)

Data for an optimized crystal structure of Li2CaTb.

Calculated values
Energy relative to the lowest polymorph listed for this composition, meV per atom: 72
Formation enthalpy at 0 K, kJ/mol of atoms: 17.05
SG: R3m

a b c (Å): 11.211 11.211 11.211
angles (deg): 18.15 18.15 18.15
Positions (direct):
Li  0.000  0.000  0.000
Li  0.162  0.162  0.162
Ca  0.581  0.581  0.581
Tb  0.747  0.747  0.747